No. 1
Rb4Th3ScSe8: relaxed, PBE.

abc: 8.4411 8.4411 24.4109
angles: 90.00 90.00 120.00
With the nearest neighbours (Å) after each atom.
Space group R-3m (No. 166, hexagonal axes)
Inequivalent atoms, fractional coordinates:
Rb: 0.0000 0.0000 0.0000 (multiplicity 3)  6 Se 3.53
Rb: 0.0000 0.5000 0.0000 (multiplicity 9)  6 Se 3.38-3.42
Th: 0.0000 0.5000 0.5000 (multiplicity 9)  6 Se 2.97-2.98
Sc: 0.0000 0.0000 0.5000 (multiplicity 3)  6 Se 2.84
Se: 0.0000 0.0000 0.2371 (multiplicity 6)  3 Th 2.98
Se: 0.0142 0.5071 0.2330 (multiplicity 18)  1 Sc 2.84, 2 Th 2.97

## Properties
**N(E_F)**: 0.689 states/eV per atom
**ρ**: 5.67 g cm⁻³
**Total DFT energy (no corrections)**: -5.30 eV per atom



No. 2
RbSc2TiSe: relaxed, PBE.

abc: 5.1353 5.1353 6.1155
angles: 90.00 90.00 90.00
With the nearest neighbours (Å) after each atom.
Space group P4/mmm (No. 123)
Inequivalent atoms, fractional coordinates:
Rb: 0.0000 0.0000 0.0000 (multiplicity 1)  2 Se 3.06
Sc: 0.0000 0.5000 0.5000 (multiplicity 2)  2 Se 2.57
Ti: 0.5000 0.5000 0.0000 (multiplicity 1)  4 Rb 3.63, 8 Sc 3.99
Se: 0.0000 0.0000 0.5000 (multiplicity 1)  4 Sc 2.57

## Properties
**N(E_F)**: 1.432 states/eV per atom
**ρ**: 3.11 g cm⁻³
**Total DFT energy (no corrections)**: -4.66 eV per atom



No. 3
Rb3Tm3ScSe8: relaxed, PBE.

abc: 14.0955 8.1362 9.4696
angles: 90.00 119.75 90.00
With the nearest neighbours (Å) after each atom.
Space group C2/m (No. 12)
Inequivalent atoms, fractional coordinates:
Rb: 0.0000 0.0000 0.0000 (multiplicity 2)  6 Se 3.43-3.46
Rb: 0.2500 0.2500 0.0000 (multiplicity 4)  6 Se 3.44-3.46
Tm: 0.0000 0.5000 0.5000 (multiplicity 2)  6 Se 2.84-2.85
Tm: 0.2500 0.2500 0.5000 (multiplicity 4)  6 Se 2.84
Sc: 0.0000 0.0000 0.5000 (multiplicity 2)  6 Se 2.76-2.77
Se: 0.0181 0.2440 0.3116 (multiplicity 8)  1 Sc 2.76, 2 Tm 2.84
Se: 0.2254 0.0000 0.6881 (multiplicity 4)  1 Sc 2.77, 2 Tm 2.84
Se: 0.2321 0.5000 0.6944 (multiplicity 4)  3 Tm 2.84-2.85

## Properties
**N(E_F)**: 0.544 states/eV per atom
**ρ**: 5.07 g cm⁻³
**Total DFT energy (no corrections)**: -5.00 eV per atom



No. 4
Rb3Tm2ScSe6: relaxed, PBE.

abc: 7.1772 12.4309 8.3141
angles: 90.00 106.74 90.00
With the nearest neighbours (Å) after each atom.
Space group C2/m (No. 12)
Inequivalent atoms, fractional coordinates:
Rb: 0.0000 0.0000 0.0000 (multiplicity 2)  6 Se 3.41-3.47
Rb: 0.0000 0.3315 0.0000 (multiplicity 4)  6 Se 3.41-3.46
Tm: 0.0000 0.1665 0.5000 (multiplicity 4)  6 Se 2.86
Sc: 0.0000 0.5000 0.5000 (multiplicity 2)  6 Se 2.78-2.79
Se: 0.2260 0.3376 0.6906 (multiplicity 8)  1 Sc 2.78, 2 Tm 2.86
Se: 0.2390 0.0000 0.6913 (multiplicity 4)  1 Sc 2.79, 2 Tm 2.86

## Properties
**N(E_F)**: 0.000 states/eV per atom
**ρ**: 5.20 g cm⁻³
**Total DFT energy (no corrections)**: -4.93 eV per atom



No. 5
Rb3TmSc2Se6: relaxed, PBE.

abc: 7.0912 12.2825 8.2849
angles: 90.00 106.59 90.00
With the nearest neighbours (Å) after each atom.
Space group C2/m (No. 12)
Inequivalent atoms, fractional coordinates:
Rb: 0.0000 0.0000 0.0000 (multiplicity 2)  6 Se 3.38-3.44
Rb: 0.0000 0.3352 0.0000 (multiplicity 4)  6 Se 3.39-3.44
Tm: 0.0000 0.5000 0.5000 (multiplicity 2)  6 Se 2.85
Sc: 0.0000 0.1668 0.5000 (multiplicity 4)  6 Se 2.77
Se: 0.2207 0.0000 0.6882 (multiplicity 4)  2 Sc 2.77, 1 Tm 2.85
Se: 0.2340 0.3290 0.6888 (multiplicity 8)  2 Sc 2.77, 1 Tm 2.85

## Properties
**N(E_F)**: 0.000 states/eV per atom
**ρ**: 4.75 g cm⁻³
**Total DFT energy (no corrections)**: -5.04 eV per atom



No. 6
RbTm4ScSe8: relaxed, PBE.

abc: 8.6309 8.6309 19.5641
angles: 90.00 90.00 120.00
With the nearest neighbours (Å) after each atom.
Space group R3m (No. 160, hexagonal axes)
Inequivalent atoms, fractional coordinates:
Rb: 0.0000 0.0000 0.0000 (multiplicity 3)  3 Se 2.98
Tm: 0.0000 0.0000 0.1886 (multiplicity 3)  4 Se 2.66-2.78
Tm: 0.1795 0.3589 0.3930 (multiplicity 9)  6 Se 2.79-3.00
Sc: 0.0000 0.0000 0.5590 (multiplicity 3)  3 Se 2.58
Se: 0.0000 0.0000 0.3246 (multiplicity 3)  1 Tm 2.66
Se: 0.0000 0.0000 0.8073 (multiplicity 3)  3 Tm 2.79
Se: 0.0579 0.5289 0.3048 (multiplicity 9)  1 Sc 2.58, 2 Tm 2.79
Se: 0.1728 0.3456 0.1365 (multiplicity 9)  3 Tm 2.78-2.96, 1 Sc 2.97

## Properties
**N(E_F)**: 0.000 states/eV per atom
**ρ**: 5.68 g cm⁻³
**Total DFT energy (no corrections)**: -5.45 eV per atom



No. 7
Rb2ScUSe6: relaxed, PBE.

abc: 7.5738 10.7142 7.5734
angles: 90.00 90.00 90.00
With the nearest neighbours (Å) after each atom.
Space group Pmmn (No. 59, origin choice 2)
Inequivalent atoms, fractional coordinates:
Rb: 0.2500 0.0000 0.2503 (multiplicity 4)  12 Se 3.78-3.79
Sc: 0.2500 0.2500 0.7494 (multiplicity 2)  6 Se 2.68
U: 0.2500 0.7500 0.7505 (multiplicity 2)  6 Se 2.68
Se: 0.9999 0.2500 0.4995 (multiplicity 4)  1 U 2.68, 1 Sc 2.68
Se: 0.9998 0.2500 0.9994 (multiplicity 4)  1 U 2.68, 1 Sc 2.68
Se: 0.2500 0.9998 0.7503 (multiplicity 4)  1 U 2.68, 1 Sc 2.68

## Properties
**N(E_F)**: 0.538 states/eV per atom
**ρ**: 5.01 g cm⁻³
**Total DFT energy (no corrections)**: -5.24 eV per atom



No. 8
Rb3Sc3USe8: relaxed, PBE.

abc: 8.0497 8.0497 24.2579
angles: 90.00 90.00 120.00
With the nearest neighbours (Å) after each atom.
Space group R-3m (No. 166, hexagonal axes)
Inequivalent atoms, fractional coordinates:
Rb: 0.0000 0.5000 0.0000 (multiplicity 9)  6 Se 3.45
Sc: 0.0000 0.5000 0.5000 (multiplicity 9)  6 Se 2.75-2.76
U: 0.0000 0.0000 0.5000 (multiplicity 3)  6 Se 2.84
Se: 0.0000 0.0000 0.2282 (multiplicity 6)  3 Sc 2.76
Se: 0.0101 0.5050 0.7707 (multiplicity 18)  2 Sc 2.75, 1 U 2.84

## Properties
**N(E_F)**: 0.389 states/eV per atom
**ρ**: 4.61 g cm⁻³
**Total DFT energy (no corrections)**: -5.59 eV per atom



No. 9
Rb3ScU3Se8: relaxed, PBE.

abc: 8.2916 8.2916 24.5954
angles: 90.00 90.00 120.00
With the nearest neighbours (Å) after each atom.
Space group R-3m (No. 166, hexagonal axes)
Inequivalent atoms, fractional coordinates:
Rb: 0.0000 0.5000 0.0000 (multiplicity 9)  6 Se 3.44-3.47
Sc: 0.0000 0.0000 0.5000 (multiplicity 3)  6 Se 2.79
U: 0.0000 0.5000 0.5000 (multiplicity 9)  6 Se 2.88-2.90
Se: 0.0000 0.0000 0.2331 (multiplicity 6)  3 U 2.90
Se: 0.0106 0.5053 0.2296 (multiplicity 18)  1 Sc 2.79, 2 U 2.88

## Properties
**N(E_F)**: 1.112 states/eV per atom
**ρ**: 5.60 g cm⁻³
**Total DFT energy (no corrections)**: -6.06 eV per atom



No. 10
Rb2ScU2Se6: relaxed, PBE.

abc: 7.1294 12.2887 8.5563
angles: 90.00 106.22 90.00
With the nearest neighbours (Å) after each atom.
Space group C2/m (No. 12)
Inequivalent atoms, fractional coordinates:
Rb: 0.0000 0.1682 0.0000 (multiplicity 4)  6 Se 3.46-3.52
Sc: 0.0000 0.0000 0.5000 (multiplicity 2)  6 Se 2.77
U: 0.0000 0.3336 0.5000 (multiplicity 4)  6 Se 2.87
Se: 0.2258 0.1612 0.6898 (multiplicity 8)  1 Sc 2.77, 2 U 2.87
Se: 0.2423 0.5000 0.6892 (multiplicity 4)  1 Sc 2.77, 2 U 2.87

## Properties
**N(E_F)**: 0.994 states/eV per atom
**ρ**: 5.38 g cm⁻³
**Total DFT energy (no corrections)**: -6.08 eV per atom



No. 11
Rb3Sc2USe6: relaxed, PBE.

abc: 7.1479 12.3814 8.3169
angles: 90.00 106.67 90.00
With the nearest neighbours (Å) after each atom.
Space group C2/m (No. 12)
Inequivalent atoms, fractional coordinates:
Rb: 0.0000 0.0000 0.0000 (multiplicity 2)  6 Se 3.37-3.46
Rb: 0.0000 0.3351 0.0000 (multiplicity 4)  6 Se 3.38-3.46
Sc: 0.0000 0.1667 0.5000 (multiplicity 4)  6 Se 2.79
U: 0.0000 0.5000 0.5000 (multiplicity 2)  6 Se 2.90
Se: 0.2177 0.0000 0.6898 (multiplicity 4)  2 Sc 2.79, 1 U 2.90
Se: 0.2362 0.3272 0.6902 (multiplicity 8)  2 Sc 2.79, 1 U 2.90

## Properties
**N(E_F)**: 0.848 states/eV per atom
**ρ**: 4.98 g cm⁻³
**Total DFT energy (no corrections)**: -5.42 eV per atom



No. 12
Rb2ScUSe4: relaxed, PBE.

abc: 7.1729 4.1635 8.3579
angles: 90.00 106.69 90.00
With the nearest neighbours (Å) after each atom.
Space group P2/m (No. 10)
Inequivalent atoms, fractional coordinates:
Rb: 0.0000 0.0000 0.0000 (multiplicity 1)  6 Se 3.39-3.40
Rb: 0.5000 0.5000 0.0000 (multiplicity 1)  6 Se 3.47-3.48
Sc: 0.0000 0.5000 0.5000 (multiplicity 1)  6 Se 2.79-2.81
U: 0.5000 0.0000 0.5000 (multiplicity 1)  6 Se 2.90
Se: 0.2194 0.0000 0.6895 (multiplicity 2)  2 Sc 2.81, 1 U 2.90
Se: 0.2570 0.5000 0.3044 (multiplicity 2)  1 Sc 2.79, 2 U 2.90

## Properties
**N(E_F)**: 0.886 states/eV per atom
**ρ**: 5.35 g cm⁻³
**Total DFT energy (no corrections)**: -5.57 eV per atom